Pm3Ho4Sc2 after structural relaxation. Source: Alexandria, functional GGA-PBE.

Cell lengths 9.733, 9.733, 6.193 Å; angles 92.93, 92.93, 72.83 degrees
Positions (direct):
Pm: 0.017 0.983 0.750
Pm: 0.328 0.478 0.936
Pm: 0.478 0.328 0.436
Pm: 0.522 0.672 0.564
Pm: 0.672 0.522 0.064
Pm: 0.983 0.017 0.250
Ho: 0.032 0.317 0.046
Ho: 0.181 0.681 0.454
Ho: 0.317 0.032 0.546
Ho: 0.319 0.819 0.046
Ho: 0.681 0.181 0.954
Ho: 0.683 0.968 0.454
Ho: 0.819 0.319 0.546
Ho: 0.968 0.683 0.954
Sc: 0.136 0.369 0.552
Sc: 0.369 0.136 0.052
Sc: 0.631 0.864 0.948
Sc: 0.864 0.631 0.448

Computed properties:
ΔH_f (0 K): 0.157 eV/atom
Symmetry: C2/c (15)
Energy above the lowest structure with this stoichiometry: 127 meV/atom

=====

PmHo7Sc3 after structural relaxation. Source: Alexandria, functional GGA-PBE.

Cell lengths 9.611, 9.611, 10.946 Å; angles 90.25, 90.25, 139.28 degrees
Positions (direct):
Pm: 0.000 0.000 0.000
Pm: 0.500 0.500 0.500
Ho: 0.086 0.412 0.537
Ho: 0.089 0.415 0.963
Ho: 0.163 0.346 0.250
Ho: 0.246 0.246 0.749
Ho: 0.346 0.163 0.250
Ho: 0.412 0.086 0.537
Ho: 0.415 0.089 0.963
Ho: 0.585 0.911 0.037
Ho: 0.588 0.914 0.463
Ho: 0.654 0.837 0.750
Ho: 0.754 0.754 0.251
Ho: 0.837 0.654 0.750
Ho: 0.911 0.585 0.037
Ho: 0.914 0.588 0.463
Sc: 0.000 0.000 0.500
Sc: 0.248 0.750 0.750
Sc: 0.250 0.752 0.250
Sc: 0.500 0.500 0.000
Sc: 0.750 0.248 0.750
Sc: 0.752 0.250 0.250

Computed properties:
ΔH_f (0 K): 0.159 eV/atom
Symmetry: C2/m (12)
Energy above the lowest structure with this stoichiometry: 0 meV/atom

=====

PmHo4Sc2 after structural relaxation. Source: Alexandria, functional GGA-PBE.

Cell lengths 5.422, 6.771, 11.650 Å; angles 90.00, 103.46, 90.00 degrees
Positions (direct):
Pm: 0.072 0.250 0.142
Pm: 0.928 0.750 0.858
Ho: 0.077 0.750 0.156
Ho: 0.214 0.250 0.430
Ho: 0.353 0.001 0.707
Ho: 0.353 0.499 0.707
Ho: 0.647 0.501 0.293
Ho: 0.647 0.999 0.293
Ho: 0.786 0.750 0.570
Ho: 0.923 0.250 0.844
Sc: 0.216 0.750 0.431
Sc: 0.498 0.250 0.994
Sc: 0.502 0.750 0.006
Sc: 0.784 0.250 0.569

Computed properties:
ΔH_f (0 K): 0.141 eV/atom
Symmetry: P2_1/m (11)
Energy above the lowest structure with this stoichiometry: 90 meV/atom

=====

Pm2Ho5Sc after structural relaxation. Source: Alexandria, functional GGA-PBE.

Cell lengths 9.772, 9.772, 9.237 Å; angles 104.07, 104.07, 35.91 degrees
Positions (direct):
Pm: 0.051 0.707 0.876
Pm: 0.293 0.949 0.624
Pm: 0.707 0.051 0.376
Pm: 0.949 0.293 0.124
Ho: 0.106 0.514 0.188
Ho: 0.175 0.825 0.250
Ho: 0.267 0.601 0.561
Ho: 0.399 0.733 0.939
Ho: 0.486 0.894 0.312
Ho: 0.514 0.106 0.688
Ho: 0.601 0.267 0.061
Ho: 0.733 0.399 0.439
Ho: 0.825 0.175 0.750
Ho: 0.894 0.486 0.812
Sc: 0.000 0.500 0.500
Sc: 0.500 0.000 0.000

Computed properties:
ΔH_f (0 K): 0.072 eV/atom
Symmetry: C2/c (15)
Energy above the lowest structure with this stoichiometry: 40 meV/atom

=====

Pm5HoSc after structural relaxation. Source: Alexandria, functional GGA-PBE.

Cell lengths 7.286, 7.286, 5.830 Å; angles 91.95, 91.95, 73.80 degrees
Positions (direct):
Pm: 0.000 0.000 0.000
Pm: 0.249 0.249 0.535
Pm: 0.311 0.689 0.500
Pm: 0.689 0.311 0.500
Pm: 0.751 0.751 0.465
Ho: 0.500 0.500 0.000
Sc: 0.000 0.000 0.500

Computed properties:
ΔH_f (0 K): 0.863 eV/atom
Symmetry: C2/m (12)

=====

Pm2Ho3Sc after structural relaxation. Source: Alexandria, functional GGA-PBE.

Cell lengths 8.935, 8.935, 14.067 Å; angles 116.61, 116.61, 22.23 degrees
Positions (direct):
Pm: 0.154 0.154 0.469
Pm: 0.321 0.321 0.123
Pm: 0.679 0.679 0.877
Pm: 0.846 0.846 0.531
Ho: 0.099 0.099 0.027
Ho: 0.240 0.240 0.293
Ho: 0.463 0.463 0.786
Ho: 0.537 0.537 0.214
Ho: 0.760 0.760 0.707
Ho: 0.901 0.901 0.973
Sc: 0.064 0.064 0.641
Sc: 0.936 0.936 0.359

Computed properties:
ΔH_f (0 K): 0.147 eV/atom
Symmetry: C2/m (12)
Energy above the lowest structure with this stoichiometry: 112 meV/atom

=====

Pm2HoSc after structural relaxation. Source: Alexandria, functional GGA-PBE.

Cell lengths 11.555, 11.555, 11.555 Å; angles 17.66, 17.66, 17.66 degrees
Positions (direct):
Pm: 0.000 0.000 0.000
Pm: 0.160 0.160 0.160
Ho: 0.579 0.579 0.579
Sc: 0.747 0.747 0.747

Computed properties:
ΔH_f (0 K): 0.051 eV/atom
Symmetry: R3m (160)
Energy above the lowest structure with this stoichiometry: 12 meV/atom

=====

Pm3Ho4Sc after structural relaxation. Source: Alexandria, functional GGA-PBE.

Cell lengths 8.777, 8.777, 8.777 Å; angles 157.16, 97.59, 86.92 degrees
Positions (direct):
Pm: 0.000 0.000 0.000
Pm: 0.260 0.760 0.500
Pm: 0.740 0.240 0.500
Ho: 0.124 0.366 0.758
Ho: 0.391 0.634 0.758
Ho: 0.609 0.366 0.242
Ho: 0.876 0.634 0.242
Sc: 0.500 0.500 0.000

Computed properties:
ΔH_f (0 K): 0.132 eV/atom
Symmetry: Immm (71)
Energy above the lowest structure with this stoichiometry: 104 meV/atom

=====

Pm3HoSc7 after structural relaxation. Source: Alexandria, functional GGA-PBE.

Cell lengths 8.017, 8.017, 8.017 Å; angles 139.87, 98.15, 95.38 degrees
Positions (direct):
Pm: 0.000 0.000 0.000
Pm: 0.216 0.500 0.716
Pm: 0.784 0.500 0.284
Ho: 0.500 0.000 0.500
Sc: 0.028 0.218 0.810
Sc: 0.208 0.708 0.500
Sc: 0.409 0.218 0.190
Sc: 0.500 0.500 0.000
Sc: 0.591 0.782 0.810
Sc: 0.792 0.292 0.500
Sc: 0.972 0.782 0.190

Computed properties:
ΔH_f (0 K): 0.304 eV/atom
Symmetry: Immm (71)

=====

Pm2Ho3Sc3 after structural relaxation. Source: Alexandria, functional GGA-PBE.

Cell lengths 10.359, 10.359, 10.359 Å; angles 152.88, 152.44, 39.05 degrees
Positions (direct):
Pm: 0.249 0.249 0.000
Pm: 0.751 0.751 0.000
Ho: 0.000 0.000 0.000
Ho: 0.380 0.880 0.500
Ho: 0.620 0.120 0.500
Sc: 0.121 0.621 0.500
Sc: 0.500 0.500 0.000
Sc: 0.879 0.379 0.500

Computed properties:
ΔH_f (0 K): 0.054 eV/atom
Symmetry: Immm (71)